## BeHgSeO (PBE)

Data for BeHgSeO after structural relaxation.

The structure in POSCAR format:
```
BeHgSeO
1.0
5.3013 0.0000 0.0000
0.0000 8.0057 0.0000
0.0000 0.0000 13.0813
Be Hg Se O
8 8 8 8
Cartesian
0.6767 1.0024 2.8125 Be
0.6767 3.0005 9.3532 Be
1.9740 5.0052 2.8125 Be
1.9740 7.0033 9.3532 Be
3.3274 1.0024 3.7281 Be
3.3274 3.0005 10.2687 Be
4.6246 5.0052 3.7281 Be
4.6246 7.0033 10.2687 Be
1.2986 5.1278 12.0554 Hg
1.2986 6.8807 5.5147 Hg
1.3520 1.1249 12.0554 Hg
1.3520 2.8779 5.5147 Hg
3.9493 5.1278 7.5665 Hg
3.9493 6.8807 1.0259 Hg
4.0027 1.1249 7.5665 Hg
4.0027 2.8779 1.0259 Hg
1.2721 4.6047 7.7269 Se
1.2721 7.4038 1.1863 Se
1.3786 0.6018 7.7269 Se
1.3786 3.4010 1.1863 Se
3.9228 4.6047 11.8950 Se
3.9228 7.4038 5.3543 Se
4.0292 0.6018 11.8950 Se
4.0292 3.4010 5.3543 Se
0.8278 5.2350 3.7631 O
0.8278 6.7736 10.3038 O
1.8229 1.2321 3.7631 O
1.8229 2.7707 10.3038 O
3.4784 5.2350 2.7775 O
3.4784 6.7736 9.3181 O
4.4736 1.2321 2.7775 O
4.4736 2.7707 9.3181 O
```

Values from the calculation:
**Symmetry**: Pbca
**Volume**: 555.2 Å³ per cell
**Total energy**: -4.11 eV/atom

---

## BeHgSeO (PBE)

Data for BeHgSeO after structural relaxation.

The structure in POSCAR format:
```
BeHgSeO
1.0
2.7869 -2.0505 0.0000
2.7869 2.0505 0.0000
-0.0141 0.0000 12.3771
Be Hg Se O
2 2 2 2
Cartesian
2.7869 1.0252 0.0000 Be
2.7869 -1.0252 0.0000 Be
1.3828 0.0000 4.7147 Hg
4.1769 0.0000 7.6624 Hg
1.3794 0.0000 10.9676 Se
4.1803 0.0000 1.4095 Se
1.3793 0.0000 7.4063 O
4.1804 0.0000 4.9708 O
```

Values from the calculation:
**Symmetry**: C2/m
**Volume**: 141.5 Å³ per cell
**Total energy**: -3.40 eV/atom

---

## BeHgSeO (PBE)

Data for BeHgSeO after structural relaxation.

The structure in POSCAR format:
```
BeHgSeO
1.0
5.0405 0.0000 0.0000
0.0000 7.3707 0.0000
0.0000 0.0000 8.1799
Be Hg Se O
4 4 4 4
Cartesian
0.1847 1.6776 0.5399 Be
2.3356 5.6932 4.6299 Be
2.7049 2.0078 7.6400 Be
4.8559 5.3629 3.5500 Be
0.1896 4.1350 6.5900 Hg
2.3307 3.2357 2.5001 Hg
2.7098 6.9211 1.5899 Hg
4.8510 0.4496 5.6798 Hg
0.9480 1.0909 2.6654 Se
1.5723 6.2798 6.7554 Se
3.4682 2.5944 5.5145 Se
4.0926 4.7763 1.4245 Se
1.2516 5.0456 3.8167 O
1.2686 2.3252 7.9067 O
3.7719 6.0105 4.3632 O
3.7889 1.3602 0.2732 O
```

Values from the calculation:
**Symmetry**: P2_12_12_1
**Volume**: 303.9 Å³ per cell
**Total energy**: -4.22 eV/atom

---

## BeHgSeO (PBE)

Data for BeHgSeO after structural relaxation.

The structure in POSCAR format:
```
BeHgSeO
1.0
3.7528 0.0000 0.0000
0.0000 3.7528 0.0000
0.0000 0.0000 10.5102
Be Hg Se O
2 2 2 2
Cartesian
0.9382 0.9382 0.9081 Be
2.8146 2.8146 9.6021 Be
0.9382 0.9382 6.4863 Hg
2.8146 2.8146 4.0238 Hg
0.9382 0.9382 9.1967 Se
2.8146 2.8146 1.3134 Se
0.9382 2.8146 5.2551 O
2.8146 0.9382 5.2551 O
```

Values from the calculation:
**Symmetry**: P4/nmm
**Volume**: 148.0 Å³ per cell
**Total energy**: -2.98 eV/atom

---

## BeHgSeO (PBE)

Data for BeHgSeO after structural relaxation.

The structure in POSCAR format:
```
BeHgSeO
1.0
5.4366 0.0000 0.0000
0.0000 10.0851 0.0000
0.0000 0.0000 5.0517
Be Hg Se O
4 4 4 4
Cartesian
0.6758 0.0466 0.0000 Be
2.0425 0.0466 2.5259 Be
3.3941 10.0385 0.0000 Be
4.7608 10.0385 2.5259 Be
0.0073 6.3022 5.0148 Hg
2.7110 6.3022 2.4890 Hg
2.7256 3.7829 5.0148 Hg
5.4294 3.7829 2.4890 Hg
0.0082 3.1801 5.0142 Se
2.7101 3.1801 2.4883 Se
2.7265 6.9050 5.0142 Se
5.4285 6.9050 2.4883 Se
0.6826 0.0486 3.3893 O
2.0357 0.0486 0.8635 O
3.4009 10.0365 3.3893 O
4.7540 10.0365 0.8635 O
```

Values from the calculation:
**Symmetry**: Pca2_1
**Volume**: 277.0 Å³ per cell
**Total energy**: -4.31 eV/atom

---

## BeHgSeO (PBE)

Data for BeHgSeO after structural relaxation.

The structure in POSCAR format:
```
BeHgSeO
1.0
4.0338 0.0000 0.0000
0.0000 4.0338 0.0000
0.0000 0.0000 8.1616
Be Hg Se O
2 2 2 2
Cartesian
1.0085 1.0085 1.3999 Be
3.0254 3.0254 6.7617 Be
1.0085 1.0085 5.2384 Hg
3.0254 3.0254 2.9232 Hg
1.0085 3.0254 0.0000 Se
3.0254 1.0085 0.0000 Se
1.0085 1.0085 2.8686 O
3.0254 3.0254 5.2930 O
```

Values from the calculation:
**Symmetry**: P4/nmm
**Volume**: 132.8 Å³ per cell
**Total energy**: -3.46 eV/atom

---

## BeHgSeO (PBE)

Data for BeHgSeO after structural relaxation.

The structure in POSCAR format:
```
BeHgSeO
1.0
4.8046 0.0000 0.0000
0.0000 4.8046 0.0000
0.0000 0.0000 6.1379
Be Hg Se O
2 2 2 2
Cartesian
1.2012 1.2012 0.9577 Be
3.6035 3.6035 5.1802 Be
1.2012 1.2012 4.4182 Hg
3.6035 3.6035 1.7197 Hg
1.2012 3.6035 0.0000 Se
3.6035 1.2012 0.0000 Se
1.2012 1.2012 2.3748 O
3.6035 3.6035 3.7631 O
```

Values from the calculation:
**Symmetry**: P4/nmm
**Volume**: 141.7 Å³ per cell
**Total energy**: -3.49 eV/atom

---

## BeHgSeO (PBE)

Data for BeHgSeO after structural relaxation.

The structure in POSCAR format:
```
BeHgSeO
1.0
6.3549 0.0000 0.0000
0.0000 7.0576 0.0000
0.0000 0.0000 6.1152
Be Hg Se O
4 4 4 4
Cartesian
0.3539 1.1382 0.0000 Be
2.8235 1.1382 3.0576 Be
3.5314 5.9195 0.0000 Be
6.0010 5.9195 3.0576 Be
0.6120 4.5218 5.6901 Hg
2.5655 4.5218 2.6325 Hg
3.7894 2.5358 5.6901 Hg
5.7430 2.5358 2.6325 Hg
0.7267 0.7312 3.8984 Se
2.4508 0.7312 0.8408 Se
3.9041 6.3264 3.8984 Se
5.6283 6.3264 0.8408 Se
0.3215 4.5750 3.3719 O
2.8559 4.5750 0.3143 O
3.4990 2.4827 3.3719 O
6.0334 2.4827 0.3143 O
```

Values from the calculation:
**Symmetry**: Pca2_1
**Volume**: 274.3 Å³ per cell
**Total energy**: -3.89 eV/atom

---

## BeHgSeO (PBE)

Data for BeHgSeO after structural relaxation.

The structure in POSCAR format:
```
BeHgSeO
1.0
3.9635 0.0000 0.0000
0.0000 3.9635 0.0000
0.0000 0.0000 8.8104
Be Hg Se O
2 2 2 2
Cartesian
0.9909 0.9909 1.5558 Be
2.9727 2.9727 7.2546 Be
0.9909 2.9727 4.4052 Hg
2.9727 0.9909 4.4052 Hg
0.9909 0.9909 7.1770 Se
2.9727 2.9727 1.6334 Se
0.9909 0.9909 0.1350 O
2.9727 2.9727 8.6754 O
```

Values from the calculation:
**Symmetry**: P4/nmm
**Volume**: 138.4 Å³ per cell
**Total energy**: -3.35 eV/atom

---

## Be2HgOs (PBE)

Data for Be2HgOs after structural relaxation.

The structure in POSCAR format:
```
Be2HgOs
1.0
0.0000 3.0259 3.0259
3.0259 0.0000 3.0259
3.0259 3.0259 0.0000
Be Hg Os
2 1 1
Cartesian
0.0000 0.0000 0.0000 Be
1.5129 1.5129 1.5129 Be
4.5388 4.5388 4.5388 Hg
3.0259 3.0259 3.0259 Os
```

Values from the calculation:
**Total magnetic moment**: 0.000 μB/atom
**Symmetry**: F-43m
**Volume**: 55.4 Å³ per cell
**Total energy**: -4.00 eV/atom

---

## BeHgOs (PBE)

Data for BeHgOs after structural relaxation.

The structure in POSCAR format:
```
BeHgOs
1.0
0.0000 2.8297 2.8297
2.8297 0.0000 2.8297
2.8297 2.8297 0.0000
Be Hg Os
1 1 1
Cartesian
0.0000 0.0000 0.0000 Be
4.2446 4.2446 4.2446 Hg
1.4149 1.4149 1.4149 Os
```

Values from the calculation:
**Total magnetic moment**: 0.001 μB/atom
**Symmetry**: F-43m
**Volume**: 45.3 Å³ per cell
**Total energy**: -4.40 eV/atom

---

## BeHgOsW (PBE)

Data for BeHgOsW after structural relaxation.

The structure in POSCAR format:
```
BeHgOsW
1.0
0.0000 3.1035 3.1035
3.1035 0.0000 3.1035
3.1035 3.1035 0.0000
Be Hg Os W
1 1 1 1
Cartesian
0.0000 0.0000 0.0000 Be
3.1035 3.1035 3.1035 Hg
4.6552 4.6552 4.6552 Os
1.5517 1.5517 1.5517 W
```

Values from the calculation:
**Total magnetic moment**: 0.074 μB/atom
**Symmetry**: F-43m
**Volume**: 59.8 Å³ per cell
**Total energy**: -6.12 eV/atom

---

What is the total energy in the third record?
-4.22 eV/atom